This record from Alexandria via LeMat-Bulk describes Ho2ThZrP4 after structural relaxation. The functional is PBE.

Unit cell a=6.870 b=3.968 c=6.873 alpha=90.00 beta=109.40 gamma=90.00
Fractional coordinates of all 8 atoms:
Ho (0.000, 0.000, 0.000)
Ho (0.000, 0.500, 0.500)
Th (0.500, 0.000, 0.500)
Zr (0.500, 0.500, 0.000)
P (0.248, 0.500, 0.237)
P (0.256, 0.000, 0.763)
P (0.744, 0.000, 0.237)
P (0.752, 0.500, 0.763)

Calculated values
- Energy: -7.345 eV per atom
- Magnetic moment: 0.0000 μB per atom
- Crystal system: monoclinic


This record from Alexandria via LeMat-Bulk describes HoTiP2 after structural relaxation. The functional is PBE.

Unit cell a=6.752 b=6.752 c=6.752 alpha=31.64 beta=31.64 gamma=31.64
Fractional coordinates of all 4 atoms:
Ho (0.000, 0.000, 0.000)
Ti (0.175, 0.175, 0.175)
P (0.576, 0.576, 0.576)
P (0.765, 0.765, 0.765)

Calculated values
- E above lowest polymorph: 40 kJ/mol of formula units
- Magnetic moment: 0.0000 μB per atom
- Crystal system: trigonal


This record from Alexandria via LeMat-Bulk describes HoTiP after structural relaxation. The functional is PBE.

Unit cell a=3.881 b=3.881 c=7.416 alpha=90.00 beta=90.00 gamma=90.00
Fractional coordinates of all 6 atoms:
Ho (0.250, 0.250, 0.147)
Ho (0.750, 0.750, 0.853)
Ti (0.250, 0.750, 0.500)
Ti (0.750, 0.250, 0.500)
P (0.250, 0.250, 0.739)
P (0.750, 0.750, 0.261)

Calculated values
- Energy: -7.064 eV per atom
- Magnetic moment: 0.0001 μB per atom
- Crystal system: tetragonal


Question: What is the magnetic moment in the first record?
Answer: 0.0000 μB per atom


What did the first record say?
This record from Alexandria via LeMat-Bulk describes Ho2ThZrP4 after structural relaxation. The functional is PBE.

Unit cell a=6.870 b=3.968 c=6.873 alpha=90.00 beta=109.40 gamma=90.00
Fractional coordinates of all 8 atoms:
Ho (0.000, 0.000, 0.000)
Ho (0.000, 0.500, 0.500)
Th (0.500, 0.000, 0.500)
Zr (0.500, 0.500, 0.000)
P (0.248, 0.500, 0.237)
P (0.256, 0.000, 0.763)
P (0.744, 0.000, 0.237)
P (0.752, 0.500, 0.763)

Calculated values
- Energy: -7.345 eV per atom
- Magnetic moment: 0.0000 μB per atom
- Crystal system: monoclinic


Question: The highest magnetic moment belongs to which entry?
Answer: HoTiP